LiTb3Nd2S6 | PBE | relaxed

```
LiTb3Nd2S6
1.0
-6.4246 0.1784 -2.4249
3.3132 -5.9921 0.5524
-1.2427 1.2424 6.6393
Nd Tb S Li
2 3 6 1
direct
0.3341 0.6659 0.0000
0.6659 0.3341 0.0000
0.8335 0.1665 0.5000
0.1665 0.8335 0.5000
0.5000 0.5000 0.5000
0.7642 0.7642 0.2524
0.4070 0.0849 0.2555
0.9151 0.5930 0.7445
0.0849 0.4070 0.2555
0.5930 0.9151 0.7445
0.2358 0.2358 0.7476
0.0000 0.0000 0.0000
```

The raw formation energy comes out at -23.6 eV/f.u. The space group is C2/m (12).